Entry 1:
## Pm3PrCd2 (PBE-GGA)

Data for an optimized crystal structure of Pm3PrCd2.

abc: 3.7642 3.7642 12.9444
angles: 90.00 90.00 90.00
Space group P4/mmm (No. 123)
Asymmetric unit:
Pm (0.0000, 0.0000, 0.0000) [1 per cell]
Pm (0.0000, 0.0000, 0.3031) [2 per cell]
Pr (0.5000, 0.5000, 0.5000) [1 per cell]
Cd (0.5000, 0.5000, 0.1523) [2 per cell]

Calculated values
Its crystal system is tetragonal. The raw total energy is -3.69 eV per atom.



Entry 2:
## CaMgFe2 (PBE-GGA)

Data for an optimized crystal structure of CaMgFe2.

abc: 5.8976 8.2926 2.9308
angles: 90.00 90.00 90.00
Space group Cmmm (No. 65)
Asymmetric unit:
Ca (0.0000, 0.0000, 0.0000) [2 per cell]
Mg (0.0000, 0.5000, 0.0000) [2 per cell]
Fe (0.2500, 0.2500, 0.5000) [4 per cell]

Calculated values
Its crystal system is orthorhombic. The raw total energy is -4.56 eV per atom.



Entry 3:
## Ba6Bi13Se26 (PBE-GGA)

Data for an optimized crystal structure of Ba6Bi13Se26.

abc: 17.5176 4.3046 18.8148
angles: 90.00 90.56 90.00
Space group Pm (No. 6)
Asymmetric unit:
Ba (0.0000, 0.0000, 0.0000) [1 per cell]
Ba (0.0092, 0.5000, 0.5556) [1 per cell]
Ba (0.5042, 0.0000, 0.0879) [1 per cell]
Ba (0.5285, 0.5000, 0.6459) [1 per cell]
Ba (0.7448, 0.5000, 0.4780) [1 per cell]
Ba (0.7767, 0.0000, 0.1621) [1 per cell]
Bi (0.0936, 0.5000, 0.1896) [1 per cell]
Bi (0.1636, 0.0000, 0.8002) [1 per cell]
Bi (0.1807, 0.0000, 0.3878) [1 per cell]
Bi (0.2725, 0.5000, 0.5683) [1 per cell]
Bi (0.3401, 0.5000, 0.2334) [1 per cell]
Bi (0.3602, 0.5000, 0.8425) [1 per cell]
Bi (0.4324, 0.0000, 0.4338) [1 per cell]
Bi (0.5691, 0.0000, 0.8647) [1 per cell]
Bi (0.5877, 0.5000, 0.2957) [1 per cell]
Bi (0.7522, 0.0000, 0.7084) [1 per cell]
Bi (0.7707, 0.5000, 0.9367) [1 per cell]
Bi (0.9362, 0.0000, 0.3423) [1 per cell]
Bi (0.9523, 0.5000, 0.7760) [1 per cell]
Se (0.0266, 0.0000, 0.6958) [1 per cell]
Se (0.0668, 0.5000, 0.3786) [1 per cell]
Se (0.0756, 0.5000, 0.8771) [1 per cell]
Se (0.1302, 0.5000, 0.0540) [1 per cell]
Se (0.1602, 0.0000, 0.5439) [1 per cell]
Se (0.2201, 0.0000, 0.2359) [1 per cell]
Se (0.2437, 0.5000, 0.7256) [1 per cell]
Se (0.2786, 0.0000, 0.9112) [1 per cell]
Se (0.3003, 0.5000, 0.4144) [1 per cell]
Se (0.3633, 0.5000, 0.0966) [1 per cell]
Se (0.3909, 0.0000, 0.5801) [1 per cell]
Se (0.4525, 0.0000, 0.7615) [1 per cell]
Se (0.4581, 0.0000, 0.2706) [1 per cell]
Se (0.4915, 0.5000, 0.9437) [1 per cell]
Se (0.5355, 0.5000, 0.4597) [1 per cell]
Se (0.6327, 0.5000, 0.1557) [1 per cell]
Se (0.6570, 0.5000, 0.7878) [1 per cell]
Se (0.6579, 0.0000, 0.5896) [1 per cell]
Se (0.6816, 0.0000, 0.9935) [1 per cell]
Se (0.6884, 0.0000, 0.3350) [1 per cell]
Se (0.8358, 0.5000, 0.3070) [1 per cell]
Se (0.8404, 0.5000, 0.6506) [1 per cell]
Se (0.8659, 0.5000, 0.0536) [1 per cell]
Se (0.8666, 0.0000, 0.8547) [1 per cell]
Se (0.8891, 0.0000, 0.4844) [1 per cell]
Se (0.9850, 0.0000, 0.1839) [1 per cell]

Calculated values
The formation energy from raw total energies comes out at -0.83 eV per atom. Its crystal system is monoclinic. The raw total energy is -4.22 eV per atom.